This record from the Alexandria database describes a relaxed structure of La4CeGe4. The functional is PBE-GGA.

It has space group P4_2/n (No. 86, origin choice 2), with a = 9.2638 Å, b = 9.2638 Å, c = 6.2336 Å, α = 90.00°, β = 90.00° and γ = 90.00°. The distinct sites, in fractional coordinates, are La at (0.0410, 0.6724, 0.1162), Ce at (0.2500, 0.2500, 0.2500) and Ge at (0.0156, 0.6292, 0.6052).

For the final energy, the calculation gives -5.474 eV per atom. Its mass density is 6.1 Mg/m³. The magnetization is 2.376 Bohr magnetons per cell.